# 1
Computed, not measured: a relaxed structure of Mo3PdPtN at the GGA-PBEsol level of DFT.

a = 6.7930 Å, b = 6.7930 Å, c = 6.7930 Å
α = 90.00°, β = 90.00°, γ = 90.00°
Last column: nearest neighbours and their distance in Å.
Element x y z (fractional)
Mo  0.1999  0.5474  0.3758  2 N 2.12-2.14
Mo  0.5474  0.3758  0.1999  2 N 2.12-2.14
Mo  0.6242  0.6999  0.9526  2 N 2.12-2.14
Mo  0.1242  0.8001  0.0474  2 N 2.12-2.14
Mo  0.9526  0.6242  0.6999  2 N 2.12-2.14
Mo  0.4526  0.8758  0.3001  2 N 2.12-2.14
Mo  0.8001  0.0474  0.1242  2 N 2.12-2.14
Mo  0.8758  0.3001  0.4526  2 N 2.12-2.14
Mo  0.6999  0.9526  0.6242  2 N 2.12-2.14
Mo  0.0474  0.1242  0.8001  2 N 2.12-2.14
Mo  0.3758  0.1999  0.5474  2 N 2.12-2.14
Mo  0.3001  0.4526  0.8758  2 N 2.12-2.14
Pt  0.9410  0.4410  0.0590  3 Pd 2.57, 6 Mo 2.74-2.87
Pt  0.4410  0.0590  0.9410  3 Pd 2.57, 6 Mo 2.74-2.87
Pt  0.0590  0.9410  0.4410  3 Pd 2.57, 6 Mo 2.74-2.87
Pt  0.5590  0.5590  0.5590  3 Pd 2.57, 6 Mo 2.74-2.87
Pd  0.6918  0.3082  0.8082  3 Pt 2.57, 6 Mo 2.72-2.87
Pd  0.8082  0.6918  0.3082  3 Pt 2.57, 6 Mo 2.72-2.87
Pd  0.1918  0.1918  0.1918  3 Pt 2.57, 6 Mo 2.72-2.87
Pd  0.3082  0.8082  0.6918  3 Pt 2.57, 6 Mo 2.72-2.87
N  0.1250  0.3750  0.6250  6 Mo 2.12-2.14
N  0.6250  0.1250  0.3750  6 Mo 2.12-2.14
N  0.3750  0.6250  0.1250  6 Mo 2.12-2.14
N  0.8750  0.8750  0.8750  6 Mo 2.12-2.14

## Properties
- theoretical density (g/cm³) = 12.78
- density of states at the Fermi level (states/eV/cell) = 8.4
- SG = P2_13, No. 198
- raw formation energy (eV/atom) = -0.4160
- E_tot (eV per atom) = -9.875

***

# 2
Computed, not measured: a relaxed structure of KCo2Pb at the GGA-PBEsol level of DFT.

a = 4.3844 Å, b = 4.3858 Å, c = 6.5214 Å
α = 70.50°, β = 70.36°, γ = 60.01°
Last column: nearest neighbours and their distance in Å.
Element x y z (fractional)
K  0.0000  0.5000  0.5000  2 Co 3.09
Co  0.8285  0.3288  0.0143  3 Pb 2.53, 3 Co 2.54
Co  0.1715  0.6712  0.9857  3 Pb 2.53, 3 Co 2.54
Pb  0.5000  0.0000  0.0000  6 Co 2.53

## Properties
- theoretical density (g/cm³) = 6.04
- calculated formation energy (eV/atom) = 0.46
- ΔE to the lowest computed polymorph (meV per atom) = 0.0
- density of states at the Fermi level (states/eV/cell) = 2.3
- SG = C2/m, No. 12
- E_tot (eV per atom) = -4.689

***

# 3
Computed, not measured: a relaxed structure of YZrIn2 at the GGA-PBEsol level of DFT.

a = 3.2274 Å, b = 5.4374 Å, c = 5.4374 Å
α = 106.09°, β = 90.00°, γ = 90.00°
Last column: nearest neighbours and their distance in Å.
Element x y z (fractional)
In  0.0000  0.5000  0.0000  4 Y 3.16, 4 Zr 3.16, 4 In 3.23-3.27
In  0.0000  0.0000  0.5000  4 Zr 3.16, 4 Y 3.16, 4 In 3.23-3.27
Zr  0.5000  0.5000  0.5000  8 In 3.16, 2 Zr 3.23, 2 Y 3.27
Y  0.5000  0.0000  0.0000  8 In 3.16, 2 Y 3.23, 2 Zr 3.27

## Properties
- theoretical density (g/cm³) = 7.42
- calculated formation energy (eV/atom) = -0.41
- density of states at the Fermi level (states/eV/cell) = 3.7
- SG = Cmmm, No. 65
- E_tot (eV per atom) = -5.884

***

# 4
Computed, not measured: a relaxed structure of BaCu2Ru at the GGA-PBEsol level of DFT.

a = 3.2568 Å, b = 3.2568 Å, c = 6.8701 Å
α = 90.00°, β = 90.00°, γ = 90.00°
Last column: nearest neighbours and their distance in Å.
Element x y z (fractional)
Ru  0.5000  0.5000  0.0000  8 Cu 2.58
Cu  0.0000  0.0000  0.1694  1 Cu 2.33, 4 Ru 2.58
Cu  0.0000  0.0000  0.8306  1 Cu 2.33, 4 Ru 2.58
Ba  0.5000  0.5000  0.5000  8 Cu 3.23, 4 Ba 3.26, 2 Ru 3.44

## Properties
- theoretical density (g/cm³) = 8.33
- calculated formation energy (eV/atom) = 0.50
- ΔE to the lowest computed polymorph (meV per atom) = 228.0
- density of states at the Fermi level (states/eV/cell) = 4.5
- SG = P4/mmm, No. 123
- E_tot (eV per atom) = -4.747